{"formula": "U2GeTe5", "functional": "GGA-PBE", "state": "optimized geometry", "lattice_angstrom": [[4.2153, 0.0000, 0.0000], [0.0000, 8.4704, 0.0000], [0.0000, 0.0000, 12.9934]], "species": ["Te", "Te", "Te", "Ge", "Te", "Te", "Te", "Te", "U", "Ge", "Te", "Te", "U", "U", "U", "Te"], "frac_coords": [[0.0000, 0.6812, 0.6918], [0.0000, 0.8188, 0.1918], [0.0000, 0.0000, 0.5000], [0.0000, 0.5000, 0.5000], [0.5000, 0.3295, 0.6018], [0.0000, 0.5000, 0.0000], [0.5000, 0.6705, 0.3982], [0.0000, 0.1812, 0.8082], [0.5000, 0.0250, 0.3215], [0.0000, 0.0000, 0.0000], [0.5000, 0.8295, 0.8982], [0.5000, 0.1705, 0.1018], [0.5000, 0.5250, 0.1785], [0.5000, 0.9750, 0.6785], [0.5000, 0.4750, 0.8215], [0.0000, 0.3188, 0.3082]], "dos_at_fermi_per_ev_cell": 31.39, "total_energy_ev_per_cell": -93.11, "e_form_raw_ev_per_fu": -3.654, "sg": "Pbam (55)", "total_magnetization_mub_per_fu": 4.59}